Record 1
{
  "formula": "RbLiPO2",
  "functional": "PBE",
  "state": "relaxed",
  "cell": [[5.020, 0.000, 0.000], [0.000, 5.020, 0.000], [0.000, 0.000, 6.349]],
  "species": ["Rb", "Li", "P", "O", "O"],
  "fractional_positions": [[0.000, 0.000, 0.000], [0.500, 0.500, 0.500], [0.000, 0.000, 0.500], [0.000, 0.500, 0.000], [0.500, 0.000, 0.000]],
  "e_above_lowest_polymorph_mev_per_atom": 629,
  "dft_energy_ev_per_atom": -2.79,
  "n_ef_per_ev_atom": 0.58,
  "e_form_raw_ev_per_fu": 4.255
}

Record 2
{
  "formula": "RbLiP2O",
  "functional": "PBE",
  "state": "relaxed",
  "cell": [[6.346, 0.000, 0.000], [0.000, 6.346, 0.000], [0.000, 0.000, 4.789]],
  "species": ["Rb", "Li", "P", "P", "O"],
  "fractional_positions": [[0.000, 0.000, 0.000], [0.500, 0.500, 0.500], [0.000, 0.500, 0.000], [0.500, 0.000, 0.000], [0.000, 0.000, 0.500]],
  "e_above_lowest_polymorph_mev_per_atom": 838,
  "dft_energy_ev_per_atom": -2.45,
  "n_ef_per_ev_atom": 0.72,
  "e_form_raw_ev_per_fu": 6.398
}